# HoTa2MoC4

A relaxed HoTa2MoC4 crystal (PBE, Alexandria via LeMat-Bulk).

## Properties
ΔH_f (0 K)   0.495 eV/atom
E   -0.6619 Ry/atom
SG   Cmcm (63)

a = 5.548 Å, b = 5.548 Å, c = 14.674 Å
α = 90.00°, β = 90.00°, γ = 144.61°
Atoms (fractional coordinates):
Ho: 0.098 0.902 0.750
Ho: 0.902 0.098 0.250
Ta: 0.497 0.503 0.597
Ta: 0.497 0.503 0.903
Ta: 0.503 0.497 0.097
Ta: 0.503 0.497 0.403
Mo: 0.188 0.812 0.250
Mo: 0.812 0.188 0.750
C: 0.000 0.000 0.000
C: 0.000 0.000 0.500
C: 0.321 0.679 0.148
C: 0.321 0.679 0.352
C: 0.426 0.574 0.750
C: 0.574 0.426 0.250
C: 0.679 0.321 0.648
C: 0.679 0.321 0.852